Entry 1:
{"formula": "TlPAu2", "functional": "SCAN", "state": "single point on PBEsol structure", "rho_g_cm3": 10.52, "ef_ev_per_atom": -0.095, "final_energy_ev_per_atom": -55.362, "space_group": "P-4m2", "magnetic_moment_mub_per_cell": 0.000, "lattice_angstrom": [[4.481, 0.000, 0.000], [0.000, 4.481, 0.000], [0.000, 0.000, 4.947]], "species": ["Tl", "P", "Au", "Au"], "frac_coords": [[0.000, 0.000, 0.000], [0.500, 0.500, 0.500], [0.000, 0.500, 0.369], [0.500, 0.000, 0.631]]}



Entry 2:
{"formula": "PW2Au", "functional": "SCAN", "state": "single point on PBEsol structure", "rho_g_cm3": 16.70, "ef_ev_per_atom": 0.502, "final_energy_ev_per_atom": -54.231, "space_group": "Fm-3m", "magnetic_moment_mub_per_cell": 0.000, "lattice_angstrom": [[0.000, 3.094, 3.094], [3.094, 0.000, 3.094], [3.094, 3.094, 0.000]], "species": ["P", "W", "W", "Au"], "frac_coords": [[0.000, 0.000, 0.000], [0.250, 0.250, 0.250], [0.750, 0.750, 0.750], [0.500, 0.500, 0.500]]}



Entry 3:
{"formula": "YP3Au", "functional": "SCAN", "state": "single point on PBEsol structure", "rho_g_cm3": 4.71, "ef_ev_per_atom": 1.034, "final_energy_ev_per_atom": -24.605, "space_group": "Pm-3m", "magnetic_moment_mub_per_cell": 0.000, "lattice_angstrom": [[5.110, 0.000, 0.000], [0.000, 5.110, 0.000], [0.000, 0.000, 5.110]], "species": ["Y", "P", "P", "P", "Au"], "frac_coords": [[0.000, 0.000, 0.000], [0.000, 0.000, 0.500], [0.000, 0.500, 0.000], [0.500, 0.000, 0.000], [0.500, 0.500, 0.500]]}



Entry 4:
{"formula": "YPAu2", "functional": "SCAN", "state": "single point on PBEsol structure", "rho_g_cm3": 10.99, "ef_ev_per_atom": -0.630, "final_energy_ev_per_atom": -44.769, "space_group": "P4/mmm", "magnetic_moment_mub_per_cell": 0.000, "lattice_angstrom": [[3.774, 0.000, 0.000], [0.000, 3.774, 0.000], [0.000, 0.000, 5.448]], "species": ["Y", "P", "Au", "Au"], "frac_coords": [[0.000, 0.000, 0.000], [0.000, 0.000, 0.500], [0.500, 0.500, 0.255], [0.500, 0.500, 0.745]]}



Entry 5:
{"formula": "YPAu2", "functional": "SCAN", "state": "single point on PBEsol structure", "rho_g_cm3": 10.78, "ef_ev_per_atom": -0.658, "final_energy_ev_per_atom": -44.797, "space_group": "R-3m", "magnetic_moment_mub_per_cell": 0.000, "lattice_angstrom": [[2.109, 1.218, 5.139], [-2.109, 1.218, 5.139], [0.000, -2.435, 5.139]], "species": ["Y", "P", "Au", "Au"], "frac_coords": [[0.000, 0.000, 0.000], [0.500, 0.500, 0.500], [0.225, 0.225, 0.225], [0.775, 0.775, 0.775]]}



Entry 6:
{"formula": "Y2PAu", "functional": "SCAN", "state": "single point on PBEsol structure", "rho_g_cm3": 8.02, "ef_ev_per_atom": -1.190, "final_energy_ev_per_atom": -35.000, "space_group": "P2/m", "magnetic_moment_mub_per_cell": 0.000, "lattice_angstrom": [[3.504, 0.000, 0.000], [0.000, 3.520, 0.000], [-0.331, 0.000, 6.812]], "species": ["Y", "Y", "P", "Au"], "frac_coords": [[0.024, 0.000, 0.266], [0.976, 0.000, 0.734], [0.500, 0.500, 0.500], [0.500, 0.500, 0.000]]}



Entry 7:
{"formula": "YPAu2", "functional": "SCAN", "state": "single point on PBEsol structure", "rho_g_cm3": 10.88, "ef_ev_per_atom": -0.751, "final_energy_ev_per_atom": -44.890, "space_group": "P2/m", "magnetic_moment_mub_per_cell": 0.000, "lattice_angstrom": [[3.801, 0.000, 0.000], [0.000, 4.226, 0.000], [-1.469, 0.000, 4.884]], "species": ["Y", "P", "Au", "Au"], "frac_coords": [[0.000, 0.000, 0.000], [0.500, 0.000, 0.500], [0.341, 0.500, 0.722], [0.659, 0.500, 0.278]]}



Entry 8:
{"formula": "Zn2PAu", "functional": "SCAN", "state": "single point on PBEsol structure", "rho_g_cm3": 9.58, "ef_ev_per_atom": 0.274, "final_energy_ev_per_atom": -26.373, "space_group": "F-43m", "magnetic_moment_mub_per_cell": 0.000, "lattice_angstrom": [[0.000, 3.145, 3.145], [3.145, 0.000, 3.145], [3.145, 3.145, 0.000]], "species": ["Zn", "Zn", "P", "Au"], "frac_coords": [[0.000, 0.000, 0.000], [0.250, 0.250, 0.250], [0.750, 0.750, 0.750], [0.500, 0.500, 0.500]]}



Entry 9:
{"formula": "Zn2PAu", "functional": "SCAN", "state": "single point on PBEsol structure", "rho_g_cm3": 9.77, "ef_ev_per_atom": 0.171, "final_energy_ev_per_atom": -26.476, "space_group": "I-4m2", "magnetic_moment_mub_per_cell": 0.000, "lattice_angstrom": [[-1.938, 1.938, 4.055], [1.938, -1.938, 4.055], [1.938, 1.938, -4.055]], "species": ["Zn", "Zn", "P", "Au"], "frac_coords": [[0.000, 0.000, 0.000], [0.750, 0.250, 0.500], [0.250, 0.750, 0.500], [0.500, 0.500, 0.000]]}



Entry 10:
{"formula": "ZnPAu", "functional": "SCAN", "state": "single point on PBEsol structure", "rho_g_cm3": 10.02, "ef_ev_per_atom": 0.179, "final_energy_ev_per_atom": -30.845, "space_group": "P3m1", "magnetic_moment_mub_per_cell": 0.000, "lattice_angstrom": [[4.561, 0.000, 0.000], [-2.280, 3.950, 0.000], [0.000, 0.000, 2.700]], "species": ["Zn", "P", "Au"], "frac_coords": [[0.000, 0.000, 0.000], [0.667, 0.333, 0.004], [0.333, 0.667, 0.003]]}



Entry 11:
{"formula": "ZnP2Au", "functional": "SCAN", "state": "single point on PBEsol structure", "rho_g_cm3": 8.66, "ef_ev_per_atom": 0.580, "final_energy_ev_per_atom": -25.287, "space_group": "P4/mmm", "magnetic_moment_mub_per_cell": 0.000, "lattice_angstrom": [[2.896, 0.000, 0.000], [0.000, 2.896, 0.000], [0.000, 0.000, 7.416]], "species": ["Zn", "P", "P", "Au"], "frac_coords": [[0.000, 0.000, 0.000], [0.500, 0.500, 0.239], [0.500, 0.500, 0.761], [0.000, 0.000, 0.500]]}



Entry 12:
{"formula": "ZnP2Au", "functional": "SCAN", "state": "single point on PBEsol structure", "rho_g_cm3": 8.27, "ef_ev_per_atom": 0.249, "final_energy_ev_per_atom": -25.618, "space_group": "Imm2", "magnetic_moment_mub_per_cell": 0.000, "lattice_angstrom": [[-1.596, 1.856, 5.494], [1.596, -1.856, 5.494], [1.596, 1.856, -5.494]], "species": ["Zn", "P", "P", "Au"], "frac_coords": [[0.000, 0.000, 0.000], [0.582, 0.582, 0.000], [0.734, 0.234, 0.500], [0.330, 0.830, 0.500]]}